Below is a relaxed structure of BaSrSi3Au, with properties calculated at the GGA-PBE level.

Distance to the lowest polymorph of the same formula ... 11 meV/atom
Raw total energy ... -4.429 eV per atom

abc: 8.8274 8.5101 6.4434
angles: 70.83 65.59 43.59
Fractional coordinates of all 12 atoms:
Ba1 0.2500 0.2500 0.2500
Ba2 0.7500 0.7500 0.7500
Sr1 0.2461 0.7539 0.2461
Sr2 0.7539 0.2461 0.7539
Si1 0.1608 0.1608 0.8392
Si2 0.1647 0.6753 0.8353
Si3 0.3247 0.8353 0.6753
Si4 0.6753 0.1647 0.3247
Si5 0.8353 0.3247 0.1647
Si6 0.8392 0.8392 0.1608
Au1 0.3363 0.3363 0.6637
Au2 0.6637 0.6637 0.3363



Below is a relaxed structure of Hf4Bi3W2C3, with properties calculated at the GGA-PBE level.

Total moment ... 0.00 μB/cell
Raw total energy ... -9.038 eV per atom

abc: 5.9535 5.9535 14.0871
angles: 101.98 101.98 60.25
Fractional coordinates of all 24 atoms:
Hf1 0.0303 0.1918 0.0840
Hf2 0.1363 0.3056 0.4160
Hf3 0.1918 0.0303 0.5840
Hf4 0.3056 0.1363 0.9160
Hf5 0.6944 0.8637 0.0840
Hf6 0.8082 0.9697 0.4160
Hf7 0.8637 0.6944 0.5840
Hf8 0.9697 0.8082 0.9160
Bi1 0.0995 0.9005 0.2500
Bi2 0.2602 0.4175 0.7492
Bi3 0.4175 0.2602 0.2492
Bi4 0.5825 0.7398 0.7508
Bi5 0.7398 0.5825 0.2508
Bi6 0.9005 0.0995 0.7500
W1 0.3509 0.5223 0.0674
W2 0.4777 0.6491 0.4326
W3 0.5223 0.3509 0.5674
W4 0.6491 0.4777 0.9326
C1 0.0000 0.5000 0.0000
C2 0.1676 0.6662 0.5002
C3 0.3338 0.8324 0.9998
C4 0.5000 0.0000 0.5000
C5 0.6662 0.1676 0.0002
C6 0.8324 0.3338 0.4998



Below is a relaxed structure of HoLuGa2Ag2, with properties calculated at the GGA-PBE level.

Total moment ... 0.00 μB/cell
Raw total energy ... -3.959 eV per atom

abc: 4.5603 4.5603 6.9308
angles: 90.00 90.00 120.00
Fractional coordinates of all 6 atoms:
Ho1 0.0000 0.0000 0.0000
Lu1 0.0000 0.0000 0.5000
Ga1 0.3333 0.6667 0.2848
Ga2 0.3333 0.6667 0.7152
Ag1 0.6667 0.3333 0.2392
Ag2 0.6667 0.3333 0.7608



Below is a relaxed structure of Co2AgGe2, with properties calculated at the GGA-PBE level.

Total moment ... 1.14 μB/cell
Raw total energy ... -5.283 eV per atom

abc: 5.2506 3.9996 6.7647
angles: 90.00 90.00 90.00
Fractional coordinates of all 10 atoms:
Co1 0.0000 0.0000 0.0000
Co2 0.2500 0.0000 0.3260
Co3 0.5000 0.0000 0.0000
Co4 0.7500 0.0000 0.6740
Ag1 0.0000 0.5000 0.5000
Ag2 0.5000 0.5000 0.5000
Ge1 0.2500 0.0000 0.7022
Ge2 0.2500 0.5000 0.1089
Ge3 0.7500 0.0000 0.2978
Ge4 0.7500 0.5000 0.8911



Among the records above, which one has the highest raw total energy? HoLuGa2Ag2